DFT (PBE with a Hubbard U) results for CsLiMoO4 after structural relaxation.

The structure belongs to space group I-4 (No. 82); the cell edges are 6.0718, 6.0718 and 8.6513 Å and the angles 90.00°, 90.00° and 90.00°. Symmetry generates all atoms from Cs at (0.0000, 0.0000, 0.0000), Li at (0.0000, 0.0000, 0.5000), Mo at (0.0000, 0.5000, 0.7500) and O at (0.0622, 0.2655, 0.6308).

The total magnetization comes out at 0.00 μB/cell. As for the calculated total energy: -6.1353 eV per atom.